No. 1
An optimized crystal structure of TmThIrRu, computed with PBE-GGA.

It has space group F-43m (No. 216), with a = 6.955 Å, b = 6.955 Å, c = 6.955 Å, α = 90.00°, β = 90.00° and γ = 90.00°. Symmetry generates all atoms from Tm at (0.000, 0.000, 0.000), Th at (0.000, 0.000, 0.500), Ir at (0.250, 0.250, 0.750) and Ru at (0.250, 0.250, 0.250).

The formation energy from the elements is -643 meV per atom.

=====

No. 2
An optimized crystal structure of YThIrRu, computed with PBE-GGA.

It has space group F-43m (No. 216), with a = 7.003 Å, b = 7.003 Å, c = 7.003 Å, α = 90.00°, β = 90.00° and γ = 90.00°. Symmetry generates all atoms from Y at (0.000, 0.000, 0.000), Th at (0.000, 0.000, 0.500), Ir at (0.250, 0.250, 0.250) and Ru at (0.250, 0.250, 0.750).

The formation energy from the elements is -589 meV per atom.

=====

No. 3
An optimized crystal structure of ThZnIrRu, computed with PBE-GGA.

It has space group F-43m (No. 216), with a = 6.655 Å, b = 6.655 Å, c = 6.655 Å, α = 90.00°, β = 90.00° and γ = 90.00°. Symmetry generates all atoms from Th at (0.000, 0.000, 0.000), Zn at (0.000, 0.000, 0.500), Ir at (0.250, 0.250, 0.250) and Ru at (0.250, 0.250, 0.750).

The formation energy from the elements is -343 meV per atom.

=====

No. 4
An optimized crystal structure of Ti3IrRu, computed with PBE-GGA.

It has space group Pm-3m (No. 221), with a = 4.577 Å, b = 4.577 Å, c = 4.577 Å, α = 90.00°, β = 90.00° and γ = 90.00°. Symmetry generates all atoms from Ti at (0.000, 0.000, 0.500), Ir at (0.500, 0.500, 0.500) and Ru at (0.000, 0.000, 0.000).

The formation energy from the elements is 542 meV per atom. For the energy above the most stable polymorph in this dataset, the calculation gives 0.00 eV per formula unit.

=====

No. 5
An optimized crystal structure of Ti2Ir4Ru, computed with PBE-GGA.

It has space group Cmmm (No. 65), with a = 7.654 Å, b = 7.682 Å, c = 3.792 Å, α = 90.00°, β = 90.00° and γ = 90.00°. Symmetry generates all atoms from Ti at (0.224, 0.000, 0.000), Ir at (0.000, 0.260, 0.000), Ir at (0.250, 0.250, 0.500) and Ru at (0.000, 0.500, 0.500).

The formation energy from the elements is -355 meV per atom.

=====

No. 6
An optimized crystal structure of TiIr4Ru, computed with PBE-GGA.

It has space group Cmmm (No. 65), with a = 3.854 Å, b = 11.749 Å, c = 3.847 Å, α = 90.00°, β = 90.00° and γ = 90.00°. Symmetry generates all atoms from Ti at (0.000, 0.000, 0.000), Ir at (0.000, 0.166, 0.500), Ir at (0.000, 0.333, 0.000) and Ru at (0.000, 0.500, 0.500).

The formation energy from the elements is -369 meV per atom.